MnAlS3: relaxed, PBE.

Output
VASP energy	-5.7802	eV/atom
magnetic moment	7.98	μB per cell

a b c (Å): 3.5019 6.7383 10.3819
angles (deg): 94.47 90.00 105.06
With the nearest neighbours (Å) after each atom.
Atoms (fractional coordinates):
S (0.3679, 0.7358, 0.6142)  2 Al 2.18
S (0.1594, 0.3187, 0.0787)  3 Mn 2.39-2.59, 1 Al 2.39
Al (0.9236, 0.8472, 0.7243)  4 S 2.18-2.39
S (0.8406, 0.6813, 0.9213)  3 Mn 2.39-2.59, 1 Al 2.39
Mn (0.3583, 0.7167, 0.0779)  5 S 2.35-2.59
S (0.0995, 0.1991, 0.7767)  1 Al 2.31, 2 Mn 2.35
Al (0.0764, 0.1528, 0.2757)  4 S 2.18-2.39
Mn (0.6417, 0.2833, 0.9221)  5 S 2.35-2.59
S (0.6321, 0.2642, 0.3858)  2 Al 2.18
S (0.9005, 0.8009, 0.2233)  1 Al 2.31, 2 Mn 2.35